Material: Y3Te
Method: DFT, PBE
State: optimized geometry

It has space group I4/mmm (No. 139), with a = 4.6551 Å, b = 4.6551 Å, c = 10.6673 Å, α = 90.00°, β = 90.00° and γ = 90.00°. The distinct sites, in fractional coordinates, are Y at (0.0000, 0.0000, 0.0000), Y at (0.0000, 0.5000, 0.2500) and Te at (0.0000, 0.0000, 0.5000).

As for the size of the total moment: 0.4 μB/f.u. The formation energy without anion corrections comes out at -0.42 eV per atom.